A plane-wave DFT calculation with PBE was carried out for a geometry-optimized Al3MoSe structure.

The structure in POSCAR format:
```
Al3MoSe
1.0
-1.785 2.840 -3.622
2.657 -2.536 -3.298
-3.758 -3.142 -0.612
Se Al Mo
1 3 1
Direct
0.500 0.500 0.500
0.500 0.000 0.000
0.000 0.500 0.000
0.000 0.000 0.500
0.000 0.000 0.000
```

Raw formation energy in eV per atom: 0.761
Raw total energy in eV for the cell shown: -21.736